Material: DyErTlFe2
Method: DFT, PBE
State: relaxed

Cell: 3.935 3.785 13.849 Å, 90.00 90.00 90.00°
Space group Amm2 (No. 38)
Symmetry-distinct sites (fractional):
Dy 0.000 0.000 0.000
Er 0.000 0.000 0.279
Tl 0.500 0.000 0.640
Fe 0.500 0.000 0.429
Fe 0.500 0.000 0.849

Calculated values
DFT total energy = -28.95 eV per formula unit

---

Material: DyErGa2
Method: DFT, PBE
State: relaxed

Cell: 4.040 4.321 10.830 Å, 90.00 90.00 90.00°
Space group Amm2 (No. 38)
Symmetry-distinct sites (fractional):
Dy 0.000 0.000 0.000
Er 0.500 0.000 0.721
Ga 0.000 0.000 0.284
Ga 0.500 0.000 0.438

Calculated values
DFT total energy = -17.74 eV per formula unit

---

Material: Dy2ErGa5
Method: DFT, PBE
State: relaxed

Cell: 4.830 7.153 9.841 Å, 90.00 90.00 90.00°
Space group Amm2 (No. 38)
Symmetry-distinct sites (fractional):
Dy 0.000 0.000 0.000
Dy 0.500 0.000 0.325
Er 0.000 0.000 0.579
Ga 0.000 0.213 0.282
Ga 0.500 0.000 0.800
Ga 0.500 0.240 0.068

Calculated values
DFT total energy = -32.86 eV per formula unit

---

Material: DyErGa3
Method: DFT, PBE
State: relaxed

Cell: 6.994 6.994 6.994 Å, 90.00 90.00 90.00°
Space group Pm-3m (No. 221)
Symmetry-distinct sites (fractional):
Dy 0.000 0.000 0.500
Er 0.000 0.500 0.500
Ga 0.000 0.000 0.000
Ga 0.248 0.248 0.248

Calculated values
DFT total energy = -20.47 eV per formula unit

---

Material: DyErGa2
Method: DFT, PBE
State: relaxed

Cell: 7.050 10.077 5.037 Å, 90.00 90.00 90.00°
Space group Cmcm (No. 63)
Symmetry-distinct sites (fractional):
Dy 0.000 0.126 0.250
Er 0.000 0.375 0.750
Ga 0.248 0.376 0.250

Calculated values
DFT total energy = -17.52 eV per formula unit

---

Material: DyErGa4
Method: DFT, PBE
State: relaxed

Cell: 4.090 18.657 6.444 Å, 90.00 90.00 90.00°
Space group Cmcm (No. 63)
Symmetry-distinct sites (fractional):
Dy 0.000 0.089 0.250
Er 0.000 0.235 0.750
Ga 0.000 0.072 0.750
Ga 0.000 0.354 0.043
Ga 0.000 0.500 0.000

Calculated values
DFT total energy = -24.64 eV per formula unit